1.
GGA+U RbCeV2O8, optimized geometry; space-group type = P-3, No. 147; E = -87.083 eV/cell
1.0
5.931 0.000 0.000
-2.966 5.137 0.000
0.000 0.000 8.088
V Rb O Ce
2 1 8 1
Direct
0.333 0.667 0.741
0.667 0.333 0.259
0.000 0.000 0.000
0.833 0.658 0.329
0.175 0.833 0.671
0.167 0.342 0.671
0.658 0.825 0.671
0.342 0.175 0.329
0.825 0.167 0.329
0.333 0.667 0.950
0.667 0.333 0.050
0.000 0.000 0.500

=====

2.
GGA+U Rb2CeVO6, optimized geometry; space-group type = P-3m1, No. 164; E = -65.140 eV/cell
1.0
5.795 0.000 0.000
0.000 6.452 0.000
0.000 -3.226 5.587
O Rb V Ce
6 2 1 1
Direct
0.207 0.867 0.735
0.793 0.133 0.867
0.793 0.133 0.265
0.207 0.265 0.133
0.793 0.735 0.867
0.207 0.867 0.133
0.889 0.667 0.333
0.111 0.333 0.667
0.000 0.000 0.000
0.500 0.000 0.000

=====

3.
GGA+U RbCe2WO8, optimized geometry; space-group type = P-1, No. 2; E = -88.565 eV/cell
1.0
5.081 -0.028 0.052
0.006 4.791 0.125
0.095 0.228 7.641
O Rb W Ce
8 1 1 2
Direct
0.525 0.725 0.499
0.699 0.737 0.987
0.475 0.275 0.501
0.146 0.759 0.187
0.191 0.805 0.822
0.809 0.195 0.178
0.854 0.241 0.813
0.301 0.263 0.013
0.000 0.000 0.500
0.000 0.000 0.000
0.490 0.486 0.764
0.510 0.514 0.236